# ZnPb2Br | Alexandria via LeMat-Bulk | GGA-PBEsol | relaxed
data_ZnPb2Br
_space_group_name_H-M_alt 'P 4/m m m'
_space_group_IT_number 123
_space_group_name_Hall '-P 4 2'
_cell_length_a 5.441
_cell_length_b 5.441
_cell_length_c 3.416
_cell_angle_alpha 90.00
_cell_angle_beta 90.00
_cell_angle_gamma 90.00
loop_
_atom_site_label
_atom_site_type_symbol
_atom_site_fract_x
_atom_site_fract_y
_atom_site_fract_z
Zn1 Zn 0.000 0.000 0.000
Pb1 Pb 0.000 0.500 0.500
Br1 Br 0.500 0.500 0.000
# E above lowest polymorph: 5 meV/atom
# M_tot: 0.00 μB/cell
# Formation energy without anion corrections: -2.6 kJ/mol of atoms
# Fermi-level density of states: 0.33 states/eV per atom

---

# ZnPbBr2 | Alexandria via LeMat-Bulk | GGA-PBEsol | relaxed
data_ZnPbBr2
_space_group_name_H-M_alt 'P 1 m 1'
_space_group_IT_number 6
_space_group_name_Hall 'P -2y'
_cell_length_a 4.910
_cell_length_b 3.790
_cell_length_c 6.038
_cell_angle_alpha 90.00
_cell_angle_beta 109.57
_cell_angle_gamma 90.00
loop_
_atom_site_label
_atom_site_type_symbol
_atom_site_fract_x
_atom_site_fract_y
_atom_site_fract_z
Zn1 Zn 0.000 0.000 0.000
Pb1 Pb 0.660 0.500 0.646
Br1 Br 0.080 0.000 0.437
Br2 Br 0.392 0.500 0.035
# E above lowest polymorph: 0 meV/atom
# M_tot: 0.00 μB/cell
# Formation energy without anion corrections: -44.2 kJ/mol of atoms
# Fermi-level density of states: 0.10 states/eV per atom

---

# ZnPbBr2 | Alexandria via LeMat-Bulk | GGA-PBEsol | relaxed
data_ZnPbBr2
_space_group_name_H-M_alt 'C 1 2/m 1'
_space_group_IT_number 12
_space_group_name_Hall '-C 2y'
_cell_length_a 6.638
_cell_length_b 8.291
_cell_length_c 5.286
_cell_angle_alpha 90.00
_cell_angle_beta 128.38
_cell_angle_gamma 90.00
loop_
_atom_site_label
_atom_site_type_symbol
_atom_site_fract_x
_atom_site_fract_y
_atom_site_fract_z
Zn1 Zn 0.000 0.000 0.000
Pb1 Pb 0.000 0.500 0.000
Br1 Br 0.250 0.250 0.500
# E above lowest polymorph: 238 meV/atom
# M_tot: 0.00 μB/cell
# Formation energy without anion corrections: -21.3 kJ/mol of atoms
# Fermi-level density of states: 0.21 states/eV per atom

---

# ZnPb3Br | Alexandria via LeMat-Bulk | GGA-PBEsol | relaxed
data_ZnPb3Br
_space_group_name_H-M_alt 'P m -3 m'
_space_group_IT_number 221
_space_group_name_Hall '-P 4 2 3'
_cell_length_a 5.363
_cell_length_b 5.363
_cell_length_c 5.363
_cell_angle_alpha 90.00
_cell_angle_beta 90.00
_cell_angle_gamma 90.00
loop_
_atom_site_label
_atom_site_type_symbol
_atom_site_fract_x
_atom_site_fract_y
_atom_site_fract_z
Zn1 Zn 0.000 0.000 0.000
Pb1 Pb 0.000 0.000 0.500
Br1 Br 0.500 0.500 0.500
# M_tot: 0.00 μB/cell
# Formation energy without anion corrections: 23.4 kJ/mol of atoms
# Fermi-level density of states: 1.04 states/eV per atom

---

# ZnPb2Br | Alexandria via LeMat-Bulk | GGA-PBEsol | relaxed
data_ZnPb2Br
_space_group_name_H-M_alt 'I 4/m m m'
_space_group_IT_number 139
_space_group_name_Hall '-I 4 2'
_cell_length_a 4.850
_cell_length_b 4.850
_cell_length_c 8.797
_cell_angle_alpha 90.00
_cell_angle_beta 90.00
_cell_angle_gamma 90.00
loop_
_atom_site_label
_atom_site_type_symbol
_atom_site_fract_x
_atom_site_fract_y
_atom_site_fract_z
Zn1 Zn 0.000 0.000 0.000
Pb1 Pb 0.000 0.500 0.250
Br1 Br 0.000 0.000 0.500
# E above lowest polymorph: 77 meV/atom
# M_tot: 0.00 μB/cell
# Formation energy without anion corrections: 4.3 kJ/mol of atoms
# Fermi-level density of states: 0.52 states/eV per atom

---

# ZnPb2Br | Alexandria via LeMat-Bulk | GGA-PBEsol | relaxed
data_ZnPb2Br
_space_group_name_H-M_alt 'P m m m'
_space_group_IT_number 47
_space_group_name_Hall '-P 2 2'
_cell_length_a 3.509
_cell_length_b 5.084
_cell_length_c 5.918
_cell_angle_alpha 90.00
_cell_angle_beta 90.00
_cell_angle_gamma 90.00
loop_
_atom_site_label
_atom_site_type_symbol
_atom_site_fract_x
_atom_site_fract_y
_atom_site_fract_z
Zn1 Zn 0.000 0.000 0.000
Pb1 Pb 0.000 0.500 0.500
Pb2 Pb 0.500 0.500 0.000
Br1 Br 0.500 0.000 0.500
# E above lowest polymorph: 0 meV/atom
# M_tot: 0.00 μB/cell
# Formation energy without anion corrections: -3.1 kJ/mol of atoms
# Fermi-level density of states: 0.51 states/eV per atom

---

# PdPt2RhBr | Alexandria via LeMat-Bulk | GGA-PBEsol | relaxed
data_PdPt2RhBr
_space_group_name_H-M_alt 'P 4/m m m'
_space_group_IT_number 123
_space_group_name_Hall '-P 4 2'
_cell_length_a 4.606
_cell_length_b 4.606
_cell_length_c 4.453
_cell_angle_alpha 90.00
_cell_angle_beta 90.00
_cell_angle_gamma 90.00
loop_
_atom_site_label
_atom_site_type_symbol
_atom_site_fract_x
_atom_site_fract_y
_atom_site_fract_z
Pd1 Pd 0.000 0.000 0.000
Pt1 Pt 0.000 0.500 0.500
Rh1 Rh 0.500 0.500 0.000
Br1 Br 0.500 0.500 0.500
# M_tot: 0.00 μB/cell
# Formation energy without anion corrections: 123.3 kJ/mol of atoms
# Fermi-level density of states: 1.66 states/eV per atom

---

# RePdRhBr2 | Alexandria via LeMat-Bulk | GGA-PBEsol | relaxed
data_RePdRhBr2
_space_group_name_H-M_alt 'P 4/m m m'
_space_group_IT_number 123
_space_group_name_Hall '-P 4 2'
_cell_length_a 4.824
_cell_length_b 4.824
_cell_length_c 4.759
_cell_angle_alpha 90.00
_cell_angle_beta 90.00
_cell_angle_gamma 90.00
loop_
_atom_site_label
_atom_site_type_symbol
_atom_site_fract_x
_atom_site_fract_y
_atom_site_fract_z
Re1 Re 0.000 0.000 0.000
Pd1 Pd 0.500 0.500 0.500
Rh1 Rh 0.000 0.000 0.500
Br1 Br 0.000 0.500 0.000
# M_tot: 0.00 μB/cell
# Formation energy without anion corrections: 123.6 kJ/mol of atoms
# Fermi-level density of states: 1.46 states/eV per atom

---

# ReTcPdBr2 | Alexandria via LeMat-Bulk | GGA-PBEsol | relaxed
data_ReTcPdBr2
_space_group_name_H-M_alt 'P 4/m m m'
_space_group_IT_number 123
_space_group_name_Hall '-P 4 2'
_cell_length_a 4.857
_cell_length_b 4.857
_cell_length_c 4.800
_cell_angle_alpha 90.00
_cell_angle_beta 90.00
_cell_angle_gamma 90.00
loop_
_atom_site_label
_atom_site_type_symbol
_atom_site_fract_x
_atom_site_fract_y
_atom_site_fract_z
Re1 Re 0.000 0.000 0.000
Tc1 Tc 0.000 0.000 0.500
Pd1 Pd 0.500 0.500 0.500
Br1 Br 0.000 0.500 0.000
# M_tot: 1.73 μB/cell
# Formation energy without anion corrections: 149.0 kJ/mol of atoms
# Fermi-level density of states: 1.16 states/eV per atom

---

# PdRhBr2 | Alexandria via LeMat-Bulk | GGA-PBEsol | relaxed
data_PdRhBr2
_space_group_name_H-M_alt 'R -3 m'
_space_group_IT_number 166
_space_group_name_Hall '-R 3 2"'
_cell_length_a 3.3481
_cell_length_b 3.3481
_cell_length_c 24.7911
_cell_angle_alpha 90.00
_cell_angle_beta 90.00
_cell_angle_gamma 120.00
loop_
_atom_site_label
_atom_site_type_symbol
_atom_site_fract_x
_atom_site_fract_y
_atom_site_fract_z
Pd1 Pd 0.0000 0.0000 0.0000
Rh1 Rh 0.0000 0.0000 0.5000
Br1 Br 0.0000 0.0000 0.4054
# M_tot: 0.22 μB/cell
# Formation energy without anion corrections: 40.3 kJ/mol of atoms
# Fermi-level density of states: 1.42 states/eV per atom

---

# PdRuBr2 | Alexandria via LeMat-Bulk | GGA-PBEsol | relaxed
data_PdRuBr2
_space_group_name_H-M_alt 'R -3 m'
_space_group_IT_number 166
_space_group_name_Hall '-R 3 2"'
_cell_length_a 3.1407
_cell_length_b 3.1407
_cell_length_c 26.1088
_cell_angle_alpha 90.00
_cell_angle_beta 90.00
_cell_angle_gamma 120.00
loop_
_atom_site_label
_atom_site_type_symbol
_atom_site_fract_x
_atom_site_fract_y
_atom_site_fract_z
Pd1 Pd 0.0000 0.0000 0.0000
Ru1 Ru 0.0000 0.0000 0.5000
Br1 Br 0.0000 0.0000 0.4104
# M_tot: 0.01 μB/cell
# Formation energy without anion corrections: 59.1 kJ/mol of atoms
# Fermi-level density of states: 1.14 states/eV per atom

---

# Pd3RuBr | Alexandria via LeMat-Bulk | GGA-PBEsol | relaxed
data_Pd3RuBr
_space_group_name_H-M_alt 'P m -3 m'
_space_group_IT_number 221
_space_group_name_Hall '-P 4 2 3'
_cell_length_a 4.725
_cell_length_b 4.725
_cell_length_c 4.725
_cell_angle_alpha 90.00
_cell_angle_beta 90.00
_cell_angle_gamma 90.00
loop_
_atom_site_label
_atom_site_type_symbol
_atom_site_fract_x
_atom_site_fract_y
_atom_site_fract_z
Pd1 Pd 0.000 0.000 0.500
Ru1 Ru 0.000 0.000 0.000
Br1 Br 0.500 0.500 0.500
# M_tot: 0.00 μB/cell
# Formation energy without anion corrections: 119.0 kJ/mol of atoms
# Fermi-level density of states: 1.32 states/eV per atom

---

| no. | energy (eV/atom) |
| --- | --- |
| 1 | -2.89 |
| 2 | -2.79 |
| 3 | -2.55 |
| 4 | -2.85 |
| 5 | -2.82 |
| 6 | -2.89 |
| 7 | -4.70 |
| 8 | -4.95 |
| 9 | -5.32 |
| 10 | -4.04 |
| 11 | -4.36 |
| 12 | -4.75 |